Entry 1:
Material: Cu2Os2O7
Method: DFT, PBE
State: relaxed

Cell lengths 7.095, 7.095, 7.095 Å; angles 60.00, 60.00, 60.00 degrees
Positions (direct):
Cu 0.000 0.000 0.000
Cu 0.000 0.000 0.500
Cu 0.000 0.500 0.000
Cu 0.500 0.000 0.000
Os 0.000 0.500 0.500
Os 0.500 0.000 0.500
Os 0.500 0.500 0.000
Os 0.500 0.500 0.500
O 0.125 0.125 0.125
O 0.177 0.177 0.573
O 0.177 0.573 0.177
O 0.177 0.573 0.573
O 0.427 0.427 0.823
O 0.427 0.823 0.427
O 0.427 0.823 0.823
O 0.573 0.177 0.177
O 0.573 0.177 0.573
O 0.573 0.573 0.177
O 0.823 0.427 0.427
O 0.823 0.427 0.823
O 0.823 0.823 0.427
O 0.875 0.875 0.875

Computed properties:
Density of states at the Fermi level ... 5.7 states/eV/f.u.
ΔE_f (raw) ... -0.69 eV/atom
Total energy ... -6.630 eV per atom
Space-group type ... Fd-3m, No. 227


Entry 2:
Material: CuOsO3
Method: DFT, PBE
State: relaxed

Cell lengths 3.832, 3.832, 3.832 Å; angles 90.00, 90.00, 90.00 degrees
Positions (direct):
Cu 0.000 0.000 0.000
Os 0.500 0.500 0.500
O 0.000 0.500 0.500
O 0.500 0.000 0.500
O 0.500 0.500 0.000

Computed properties:
Density of states at the Fermi level ... 3.3 states/eV/f.u.
ΔE_f (raw) ... -0.37 eV/atom
Total energy ... -6.407 eV per atom
Space-group type ... Pm-3m, No. 221


Entry 3:
Material: CuOsO3
Method: DFT, PBE
State: relaxed

Cell lengths 3.742, 3.742, 3.742 Å; angles 90.00, 90.00, 90.00 degrees
Positions (direct):
Cu 0.000 0.000 0.000
Os 0.500 0.500 0.500
O 0.000 0.000 0.500
O 0.000 0.500 0.000
O 0.500 0.000 0.000

Computed properties:
Density of states at the Fermi level ... 3.2 states/eV/f.u.
ΔE_f (raw) ... 0.70 eV/atom
Total energy ... -5.336 eV per atom
Space-group type ... Pm-3m, No. 221


Entry 4:
Material: CuOsO2
Method: DFT, PBE
State: relaxed

Cell lengths 3.814, 3.814, 3.814 Å; angles 60.00, 60.00, 60.00 degrees
Positions (direct):
Cu 0.000 0.000 0.000
Os 0.500 0.500 0.500
O 0.250 0.250 0.250
O 0.750 0.750 0.750

Computed properties:
Density of states at the Fermi level ... 3.6 states/eV/f.u.
ΔE_f (raw) ... 0.40 eV/atom
Total energy ... -5.911 eV per atom
Space-group type ... Fm-3m, No. 225


Entry 5:
Material: CuOsO2
Method: DFT, PBE
State: relaxed

Cell lengths 5.506, 5.506, 5.506 Å; angles 128.32, 128.32, 76.11 degrees
Positions (direct):
Cu 0.000 0.000 0.000
Cu 0.750 0.250 0.500
Os 0.250 0.750 0.500
Os 0.500 0.500 0.000
O 0.129 0.625 0.004
O 0.375 0.379 0.504
O 0.621 0.125 0.996
O 0.875 0.871 0.496

Computed properties:
Density of states at the Fermi level ... 2.3 states/eV/f.u.
ΔE_f (raw) ... 0.03 eV/atom
Total energy ... -6.282 eV per atom
Space-group type ... I-42d, No. 122


Entry 6:
Material: CuOsO6
Method: DFT, PBE
State: relaxed

Cell lengths 5.128, 5.128, 4.823 Å; angles 97.35, 97.35, 124.65 degrees
Positions (direct):
Cu 0.000 0.000 0.000
Os 0.500 0.500 0.500
O 0.100 0.373 0.267
O 0.288 0.288 0.764
O 0.373 0.100 0.267
O 0.627 0.900 0.733
O 0.712 0.712 0.236
O 0.900 0.627 0.733

Computed properties:
Density of states at the Fermi level ... 5.6 states/eV/f.u.
ΔE_f (raw) ... -0.26 eV/atom
Total energy ... -5.895 eV per atom
Space-group type ... C2/m, No. 12


- Among the records above, which one has the highest total energy?
  number 3


Repeat the fifth record exactly.
Material: CuOsO2
Method: DFT, PBE
State: relaxed

Cell lengths 5.506, 5.506, 5.506 Å; angles 128.32, 128.32, 76.11 degrees
Positions (direct):
Cu 0.000 0.000 0.000
Cu 0.750 0.250 0.500
Os 0.250 0.750 0.500
Os 0.500 0.500 0.000
O 0.129 0.625 0.004
O 0.375 0.379 0.504
O 0.621 0.125 0.996
O 0.875 0.871 0.496

Computed properties:
Density of states at the Fermi level ... 2.3 states/eV/f.u.
ΔE_f (raw) ... 0.03 eV/atom
Total energy ... -6.282 eV per atom
Space-group type ... I-42d, No. 122